The following is a DFT calculation (GGA-PBE) of crystalline NdInCu2 at its relaxed geometry.

Unit cell a=5.1845 b=4.2207 c=7.2726 alpha=90.00 beta=90.00 gamma=90.00
Closest atoms and distances in Å follow each position.
Atoms (fractional coordinates):
1 Nd 0.2500 0.0000 0.2031  3 Cu 2.88-2.96
2 Nd 0.7500 0.0000 0.7969  3 Cu 2.88-2.96
3 In 0.2500 0.5000 0.8442  4 Cu 2.76-2.82
4 In 0.7500 0.5000 0.1558  4 Cu 2.76-2.82
5 Cu 0.0000 0.5000 0.5000  6 Cu 2.58-2.59, 2 In 2.82
6 Cu 0.2500 0.0000 0.5991  4 Cu 2.58, 2 In 2.76, 1 Nd 2.88
7 Cu 0.5000 0.5000 0.5000  6 Cu 2.58-2.59, 2 In 2.82
8 Cu 0.7500 0.0000 0.4009  4 Cu 2.58, 2 In 2.76, 1 Nd 2.88

Properties
Calculated volume: 159 Å³ per cell
Energy: -32.18 eV/cell

---

The following is a DFT calculation (GGA-PBE) of crystalline NdInCu at its relaxed geometry.

Unit cell a=7.4485 b=7.4485 c=4.2274 alpha=90.00 beta=90.00 gamma=120.00
Closest atoms and distances in Å follow each position.
Atoms (fractional coordinates):
1 Nd 0.0000 0.5867 0.0000  5 Cu 3.08, 6 In 3.30-3.42
2 Nd 0.4133 0.4133 0.0000  5 Cu 3.08, 6 In 3.30-3.42
3 Nd 0.5867 0.0000 0.0000  5 Cu 3.08, 6 In 3.30-3.42
4 In 0.0000 0.2465 0.5000  4 Cu 2.80-2.86
5 In 0.2465 0.0000 0.5000  4 Cu 2.80-2.86
6 In 0.7535 0.7535 0.5000  4 Cu 2.80-2.86
7 Cu 0.0000 0.0000 0.0000  6 In 2.80, 3 Nd 3.08
8 Cu 0.3333 0.6667 0.5000  3 In 2.86, 6 Nd 3.08
9 Cu 0.6667 0.3333 0.5000  3 In 2.86, 6 Nd 3.08

Properties
Calculated volume: 203 Å³ per cell
Energy: -37.14 eV/cell

---

The following is a DFT calculation (GGA-PBE) of crystalline NdIn2CuPd at its relaxed geometry.

Unit cell a=4.4506 b=4.4506 c=11.0127 alpha=90.00 beta=90.00 gamma=90.00
Closest atoms and distances in Å follow each position.
Atoms (fractional coordinates):
1 Nd 0.2500 0.2500 0.2484  8 In 3.38-3.55, 4 Cu 3.41, 4 Pd 3.53
2 Nd 0.7500 0.7500 0.7516  8 In 3.38-3.55, 4 Cu 3.41, 4 Pd 3.53
3 In 0.2500 0.2500 0.8629  1 Cu 2.53, 4 Pd 2.69
4 In 0.2500 0.7500 0.5000  4 Cu 2.67
5 In 0.7500 0.2500 0.5000  4 Cu 2.67
6 In 0.7500 0.7500 0.1371  1 Cu 2.53, 4 Pd 2.69
7 Cu 0.2500 0.2500 0.6332  5 In 2.53-2.67
8 Cu 0.7500 0.7500 0.3668  5 In 2.53-2.67
9 Pd 0.2500 0.7500 0.0000  4 In 2.69
10 Pd 0.7500 0.2500 0.0000  4 In 2.69

Properties
Calculated volume: 218 Å³ per cell
Energy: -42.59 eV/cell

---

The following is a DFT calculation (GGA-PBE) of crystalline PrNd2In3CuPd2 at its relaxed geometry.

Unit cell a=4.0118 b=7.7825 c=7.7825 alpha=119.96 beta=90.00 gamma=90.00
Closest atoms and distances in Å follow each position.
Atoms (fractional coordinates):
1 Pr 0.0000 0.0000 0.0000  4 Pd 3.10, 1 Cu 3.22, 6 In 3.33-3.45
2 Nd 0.0000 0.1755 0.5876  4 Pd 3.08-3.09, 1 Cu 3.20, 6 In 3.32-3.44
3 Nd 0.0000 0.5876 0.1755  4 Pd 3.08-3.09, 1 Cu 3.20, 6 In 3.32-3.44
4 In 0.5000 0.3409 0.3409  2 Cu 2.77, 2 Pd 3.00
5 In 0.5000 0.5867 0.8346  2 Cu 2.78, 2 Pd 2.97-3.00
6 In 0.5000 0.8346 0.5867  2 Cu 2.78, 2 Pd 2.97-3.00
7 Cu 0.0000 0.5870 0.5870  6 In 2.77-2.78
8 Pd 0.5000 0.2553 0.9205  3 In 2.97-3.00, 4 Nd 3.08-3.09, 2 Pr 3.10
9 Pd 0.5000 0.9205 0.2553  3 In 2.97-3.00, 4 Nd 3.08-3.09, 2 Pr 3.10

Properties
Calculated volume: 211 Å³ per cell
Energy: -42.61 eV/cell

---

The following is a DFT calculation (GGA-PBE) of crystalline PrNd2In3Cu3 at its relaxed geometry.

Unit cell a=4.0891 b=7.5982 c=7.5982 alpha=119.93 beta=90.00 gamma=90.00
Closest atoms and distances in Å follow each position.
Atoms (fractional coordinates):
1 Pr 0.0000 0.0000 0.0000  5 Cu 3.08-3.15, 6 In 3.29-3.42
2 Nd 0.0000 0.1739 0.5869  5 Cu 3.07-3.14, 6 In 3.29-3.41
3 Nd 0.0000 0.5869 0.1739  5 Cu 3.07-3.14, 6 In 3.29-3.41
4 In 0.5000 0.3395 0.3395  4 Cu 2.77-2.92
5 In 0.5000 0.5856 0.8343  4 Cu 2.78-2.92
6 In 0.5000 0.8343 0.5856  4 Cu 2.78-2.92
7 Cu 0.0000 0.5861 0.5861  6 In 2.77-2.78
8 Cu 0.5000 0.2544 0.9195  3 In 2.89-2.92, 4 Nd 3.07, 2 Pr 3.08
9 Cu 0.5000 0.9195 0.2544  3 In 2.89-2.92, 4 Nd 3.07, 2 Pr 3.08

Properties
Calculated volume: 205 Å³ per cell
Energy: -37.14 eV/cell

---

The following is a DFT calculation (GGA-PBE) of crystalline PrNd2In3CuPt2 at its relaxed geometry.

Unit cell a=3.9760 b=7.7793 c=7.7793 alpha=120.04 beta=90.00 gamma=90.00
Closest atoms and distances in Å follow each position.
Atoms (fractional coordinates):
1 Pr 0.0000 0.0000 0.0000  4 Pt 3.09, 1 Cu 3.20, 6 In 3.31-3.43
2 Nd 0.0000 0.4112 0.8224  4 Pt 3.07, 1 Cu 3.20, 6 In 3.30-3.43
3 Nd 0.0000 0.8224 0.4112  4 Pt 3.07, 1 Cu 3.20, 6 In 3.30-3.43
4 In 0.5000 0.1620 0.4120  2 Cu 2.78, 2 Pt 2.96-2.98
5 In 0.5000 0.4120 0.1620  2 Cu 2.78, 2 Pt 2.96-2.98
6 In 0.5000 0.6600 0.6600  2 Cu 2.77, 2 Pt 2.98
7 Cu 0.0000 0.4118 0.4118  6 In 2.77-2.78
8 Pt 0.5000 0.0783 0.7433  3 In 2.96-2.98, 4 Nd 3.07, 2 Pr 3.09
9 Pt 0.5000 0.7433 0.0783  3 In 2.96-2.98, 4 Nd 3.07, 2 Pr 3.09

Properties
Calculated volume: 208 Å³ per cell
Energy: -45.44 eV/cell

---

The following is a DFT calculation (GGA-PBE) of crystalline NdIn2CuPt at its relaxed geometry.

Unit cell a=4.4391 b=4.4391 c=11.2225 alpha=90.00 beta=90.00 gamma=90.00
Closest atoms and distances in Å follow each position.
Atoms (fractional coordinates):
1 Nd 0.2500 0.2500 0.2468  4 Pt 3.37, 8 In 3.44-3.61, 4 Cu 3.55
2 Nd 0.7500 0.7500 0.7532  4 Pt 3.37, 8 In 3.44-3.61, 4 Cu 3.55
3 In 0.2500 0.2500 0.8796  4 Cu 2.60, 1 Pt 2.64
4 In 0.2500 0.7500 0.5000  4 Pt 2.75
5 In 0.7500 0.2500 0.5000  4 Pt 2.75
6 In 0.7500 0.7500 0.1204  4 Cu 2.60, 1 Pt 2.64
7 Cu 0.2500 0.7500 0.0000  4 In 2.60
8 Cu 0.7500 0.2500 0.0000  4 In 2.60
9 Pt 0.2500 0.2500 0.6447  5 In 2.64-2.75
10 Pt 0.7500 0.7500 0.3553  5 In 2.64-2.75

Properties
Calculated volume: 221 Å³ per cell
Energy: -45.00 eV/cell

---

The following is a DFT calculation (GGA-PBE) of crystalline Nd2InCuS4 at its relaxed geometry.

Unit cell a=7.2178 b=7.2178 c=14.0103 alpha=90.00 beta=90.00 gamma=147.36
Closest atoms and distances in Å follow each position.
Atoms (fractional coordinates):
1 Nd 0.1343 0.8657 0.5626  6 S 2.78-2.89
2 Nd 0.1343 0.8657 0.9374  6 S 2.78-2.89
3 Nd 0.8657 0.1343 0.0626  6 S 2.78-2.89
4 Nd 0.8657 0.1343 0.4374  6 S 2.78-2.89
5 In 0.3923 0.6077 0.7500  6 S 3.18-3.30
6 In 0.6077 0.3923 0.2500  6 S 3.18-3.30
7 Cu 0.3374 0.6626 0.2500  4 S 2.35-2.41
8 Cu 0.6626 0.3374 0.7500  4 S 2.35-2.41
9 S 0.0690 0.9310 0.7500  2 Cu 2.41
10 S 0.2365 0.7635 0.1152  1 Cu 2.35
11 S 0.2365 0.7635 0.3848  1 Cu 2.35
12 S 0.5000 0.5000 0.0000  4 Nd 2.89
13 S 0.5000 0.5000 0.5000  4 Nd 2.89
14 S 0.7635 0.2365 0.6152  1 Cu 2.35
15 S 0.7635 0.2365 0.8848  1 Cu 2.35
16 S 0.9310 0.0690 0.2500  2 Cu 2.41

Properties
Calculated volume: 394 Å³ per cell
Energy: -87.00 eV/cell

---

The following is a DFT calculation (GGA-PBE) of crystalline NdInCu3S4 at its relaxed geometry.

Unit cell a=5.9773 b=5.9773 c=5.9773 alpha=90.00 beta=90.00 gamma=90.00
Closest atoms and distances in Å follow each position.
Atoms (fractional coordinates):
1 Nd 0.0000 0.0000 0.0000  4 S 2.59
2 In 0.5000 0.5000 0.5000  4 S 2.59
3 Cu 0.0000 0.0000 0.5000  4 S 2.59
4 Cu 0.0000 0.5000 0.0000  4 S 2.59
5 Cu 0.5000 0.0000 0.0000  4 S 2.59
6 S 0.2498 0.2498 0.7502  1 Nd 2.59, 3 Cu 2.59, 1 In 2.59
7 S 0.2498 0.7502 0.2498  1 Nd 2.59, 3 Cu 2.59, 1 In 2.59
8 S 0.7502 0.2498 0.2498  1 Nd 2.59, 3 Cu 2.59, 1 In 2.59
9 S 0.7502 0.7502 0.7502  1 Nd 2.59, 3 Cu 2.59, 1 In 2.59

Properties
Calculated volume: 214 Å³ per cell
Energy: -38.70 eV/cell

---

The following is a DFT calculation (GGA-PBE) of crystalline NdInCu3Se4 at its relaxed geometry.

Unit cell a=6.2261 b=6.2261 c=6.2261 alpha=90.00 beta=90.00 gamma=90.00
Closest atoms and distances in Å follow each position.
Atoms (fractional coordinates):
1 Nd 0.0000 0.0000 0.0000  4 Se 2.70
2 In 0.5000 0.5000 0.5000  4 Se 2.69
3 Cu 0.0000 0.0000 0.5000  4 Se 2.70
4 Cu 0.0000 0.5000 0.0000  4 Se 2.70
5 Cu 0.5000 0.0000 0.0000  4 Se 2.70
6 Se 0.2503 0.2503 0.7497  1 In 2.69, 3 Cu 2.70, 1 Nd 2.70
7 Se 0.2503 0.7497 0.2503  1 In 2.69, 3 Cu 2.70, 1 Nd 2.70
8 Se 0.7497 0.2503 0.2503  1 In 2.69, 3 Cu 2.70, 1 Nd 2.70
9 Se 0.7497 0.7497 0.7497  1 In 2.69, 3 Cu 2.70, 1 Nd 2.70

Properties
Calculated volume: 241 Å³ per cell
Energy: -36.03 eV/cell

---

The following is a DFT calculation (GGA-PBE) of crystalline NdInCu3Te4 at its relaxed geometry.

Unit cell a=6.6240 b=6.6240 c=6.6240 alpha=90.00 beta=90.00 gamma=90.00
Closest atoms and distances in Å follow each position.
Atoms (fractional coordinates):
1 Nd 0.0000 0.0000 0.0000  4 Te 2.88
2 In 0.5000 0.5000 0.5000  4 Te 2.86
3 Cu 0.0000 0.0000 0.5000  4 Te 2.87
4 Cu 0.0000 0.5000 0.0000  4 Te 2.87
5 Cu 0.5000 0.0000 0.0000  4 Te 2.87
6 Te 0.2507 0.2507 0.7493  1 In 2.86, 3 Cu 2.87, 1 Nd 2.88
7 Te 0.2507 0.7493 0.2507  1 In 2.86, 3 Cu 2.87, 1 Nd 2.88
8 Te 0.7493 0.2507 0.2507  1 In 2.86, 3 Cu 2.87, 1 Nd 2.88
9 Te 0.7493 0.7493 0.7493  1 In 2.86, 3 Cu 2.87, 1 Nd 2.88

Properties
Calculated volume: 291 Å³ per cell
Energy: -33.06 eV/cell

---

The following is a DFT calculation (GGA-PBE) of crystalline InCuNi at its relaxed geometry.

Unit cell a=4.3859 b=4.3859 c=5.2536 alpha=90.00 beta=90.00 gamma=120.00
Closest atoms and distances in Å follow each position.
Atoms (fractional coordinates):
1 In 0.3333 0.6667 0.2500  5 Ni 2.53-2.63
2 In 0.6667 0.3333 0.7500  5 Ni 2.53-2.63
3 Cu 0.0000 0.0000 0.0000  2 Cu 2.63, 6 In 2.85, 6 Ni 2.85
4 Cu 0.0000 0.0000 0.5000  2 Cu 2.63, 6 In 2.85, 6 Ni 2.85
5 Ni 0.3333 0.6667 0.7500  5 In 2.53-2.63
6 Ni 0.6667 0.3333 0.2500  5 In 2.53-2.63

Properties
Relative energy among the computed polymorphs: 0 meV/atom
Calculated volume: 88 Å³ per cell
Energy: -24.14 eV/cell

---

Please write out number 1 again, unchanged.
The following is a DFT calculation (GGA-PBE) of crystalline NdInCu2 at its relaxed geometry.

Unit cell a=5.1845 b=4.2207 c=7.2726 alpha=90.00 beta=90.00 gamma=90.00
Closest atoms and distances in Å follow each position.
Atoms (fractional coordinates):
1 Nd 0.2500 0.0000 0.2031  3 Cu 2.88-2.96
2 Nd 0.7500 0.0000 0.7969  3 Cu 2.88-2.96
3 In 0.2500 0.5000 0.8442  4 Cu 2.76-2.82
4 In 0.7500 0.5000 0.1558  4 Cu 2.76-2.82
5 Cu 0.0000 0.5000 0.5000  6 Cu 2.58-2.59, 2 In 2.82
6 Cu 0.2500 0.0000 0.5991  4 Cu 2.58, 2 In 2.76, 1 Nd 2.88
7 Cu 0.5000 0.5000 0.5000  6 Cu 2.58-2.59, 2 In 2.82
8 Cu 0.7500 0.0000 0.4009  4 Cu 2.58, 2 In 2.76, 1 Nd 2.88

Properties
Calculated volume: 159 Å³ per cell
Energy: -32.18 eV/cell

---

- Which formula does entry 9 have?
  NdInCu3S4

---

- Which of these has the lowest energy?
  Nd2InCuS4